DFT (GGA-PBE) results for a geometry-optimized SiSb2Rh8 structure.

Energy relative to the elements, uncorrected: -0.267 eV/atom
Space group: Immm (71)
Magnetic moment: 0.0000 μB per atom

```
SiSb2Rh8
1.0
-2.063 3.618 5.759
2.063 -3.618 5.759
2.063 3.618 -5.759
Si Sb Rh
1 2 8
direct
0.000 0.000 0.000
0.312 0.312 0.000
0.688 0.688 0.000
0.105 0.846 0.259
0.134 0.634 0.500
0.299 0.500 0.799
0.412 0.154 0.259
0.588 0.846 0.741
0.701 0.500 0.201
0.866 0.366 0.500
0.895 0.154 0.741
```

DFT (GGA-PBE) results for a geometry-optimized NbGaNi2 structure.

Energy of formation from the pure elements: 0.17 eV/atom
Space group: I-42d (122)
Magnetic moment: 0.0000 μB per atom

```
NbGaNi2
1.0
-3.353 3.353 2.632
3.353 -3.353 2.632
3.353 3.353 -2.632
Nb Ga Ni
2 2 4
direct
0.000 0.000 0.000
0.750 0.250 0.500
0.250 0.750 0.500
0.500 0.500 0.000
0.139 0.625 0.014
0.375 0.389 0.514
0.611 0.125 0.986
0.875 0.861 0.486
```

DFT (GGA-PBE) results for a geometry-optimized CaTb2Nd3Se6 structure.

Energy relative to the elements, uncorrected: -1.840 eV/atom
Space group: C2/m (12)
Magnetic moment: 0.0000 μB per atom

```
CaTb2Nd3Se6
1.0
3.592 -6.226 0.000
3.592 6.226 0.000
-2.384 0.000 6.914
Ca Tb Nd Se
1 2 3 6
direct
0.000 0.000 0.000
0.333 0.667 0.000
0.667 0.333 0.000
0.165 0.835 0.500
0.500 0.500 0.500
0.835 0.165 0.500
0.080 0.414 0.239
0.255 0.255 0.765
0.414 0.080 0.239
0.586 0.920 0.761
0.745 0.745 0.235
0.920 0.586 0.761
```

DFT (GGA-PBE) results for a geometry-optimized TeP2Pb structure.

ΔE to the lowest computed polymorph: 195 meV per atom
Energy relative to the elements, uncorrected: 0.303 eV/atom
Space group: Cmm2 (35)
Magnetic moment: 0.0000 μB per atom

```
TeP2Pb
1.0
1.632 -3.486 0.000
1.632 3.486 0.000
0.000 0.000 11.011
Te P Pb
1 2 1
direct
0.000 0.000 0.000
0.000 0.000 0.507
0.500 0.500 0.630
0.500 0.500 0.243
```

DFT (GGA-PBE) results for a geometry-optimized ThP2Os2 structure.

Energy of formation from the pure elements: -0.64 eV/atom
Space group: P4/mmm (123)
Magnetic moment: 0.0000 μB per atom

```
ThP2Os2
1.0
4.134 0.000 0.000
0.000 4.134 0.000
0.000 0.000 4.883
Th P Os
1 2 2
direct
0.000 0.000 0.000
0.500 0.500 0.238
0.500 0.500 0.762
0.000 0.500 0.500
0.500 0.000 0.500
```

DFT (GGA-PBE) results for a geometry-optimized CaMgN structure.

ΔE to the lowest computed polymorph: 0 meV per atom
Energy relative to the elements, uncorrected: -0.587 eV/atom
Space group: P-1 (2)
Magnetic moment: 0.0165 μB per atom

```
CaMgN
1.0
3.418 0.000 0.000
1.709 2.960 0.000
1.687 0.972 11.523
Ca Mg N
2 2 2
direct
0.107 0.113 0.165
0.893 0.887 0.835
0.375 0.381 0.364
0.625 0.619 0.636
0.264 0.258 0.721
0.736 0.742 0.279
```

DFT (GGA-PBE) results for a geometry-optimized Nb2BiPS structure.

Energy relative to the elements, uncorrected: 0.470 eV/atom
Space group: P4/mmm (123)
Magnetic moment: 0.0002 μB per atom

```
Nb2BiPS
1.0
4.867 0.000 0.000
0.000 4.867 0.000
0.000 0.000 4.354
Nb Bi P S
2 1 1 1
direct
0.000 0.500 0.000
0.500 0.000 0.000
0.000 0.000 0.500
0.500 0.500 0.000
0.500 0.500 0.500
```

DFT (GGA-PBE) results for a geometry-optimized CdTcOs2 structure.

Energy of formation from the pure elements: 0.47 eV/atom
Space group: C2/m (12)
Magnetic moment: 0.0001 μB per atom

```
CdTcOs2
1.0
4.685 -1.395 0.000
4.685 1.395 0.000
-0.919 0.000 4.814
Cd Tc Os
1 1 2
direct
0.000 0.000 0.000
0.500 0.500 0.500
0.235 0.235 0.721
0.765 0.765 0.279
```